Version i
Density functional theory data (PBE) for a relaxed structure of MgNb2Hg.

Summary:
- symmetry = I-42d
- crystal system = tetragonal
- volume (Å³/cell) = 164.5

abc: 6.1454 6.1454 6.1454
angles: 101.11 101.11 127.91
With the nearest neighbours (Å) after each atom.
Positions (direct):
Mg1 0.0000 0.0000 0.0000  2 Hg 2.70, 4 Nb 2.88
Mg2 0.7500 0.2500 0.5000  2 Hg 2.70, 4 Nb 2.88
Nb1 0.1314 0.6250 0.0064  2 Nb 2.70, 2 Hg 2.81, 2 Mg 2.88
Nb2 0.3750 0.3814 0.5064  2 Nb 2.70, 2 Hg 2.81, 2 Mg 2.88
Nb3 0.6186 0.1250 0.9936  2 Nb 2.70, 2 Hg 2.81, 2 Mg 2.88
Nb4 0.8750 0.8686 0.4936  2 Nb 2.70, 2 Hg 2.81, 2 Mg 2.88
Hg1 0.2500 0.7500 0.5000  2 Mg 2.70, 4 Nb 2.81
Hg2 0.5000 0.5000 0.0000  2 Mg 2.70, 4 Nb 2.81

***

Version ii
Density functional theory data (PBE) for a relaxed structure of MgNb2Hg.

Summary:
- symmetry = Fm-3m
- crystal system = cubic
- volume (Å³/cell) = 76.5

abc: 4.7658 4.7658 4.7658
angles: 60.00 60.00 60.00
With the nearest neighbours (Å) after each atom.
Positions (direct):
Mg1 0.0000 0.0000 0.0000  8 Nb 2.92
Nb1 0.2500 0.2500 0.2500  4 Hg 2.92, 4 Mg 2.92
Nb2 0.7500 0.7500 0.7500  4 Hg 2.92, 4 Mg 2.92
Hg1 0.5000 0.5000 0.5000  8 Nb 2.92

***

Energetically preferred structure: version ii | next structure: +0.156 eV/atom